# 1
This record from Alexandria via LeMat-Bulk describes a relaxed structure of SnAsWSe2. The functional is PBE-GGA.

Calculated values
symmetry: P4/mmm, No. 123
distance to the lowest polymorph of the same formula: 0.000 eV per atom
V: 24.62 Å³/atom
E_form (uncorrected): 0.318 eV per atom
theoretical density: 7.22 Mg/m³

Lattice parameters (Å, degrees): 4.9838 4.9838 4.9561 90.00 90.00 90.00
Last column: nearest neighbours and their distance in Å.
Sites, in units of the cell vectors:
Sn 0.0000 0.0000 0.0000  8 Se 3.51, 4 As 3.52
As 0.5000 0.5000 0.0000  2 W 2.48
W 0.5000 0.5000 0.5000  2 As 2.48, 4 Se 2.49
Se 0.0000 0.5000 0.5000  2 W 2.49
Se 0.5000 0.0000 0.5000  2 W 2.49


# 2
This record from Alexandria via LeMat-Bulk describes a relaxed structure of YSnAsSe2. The functional is PBE-GGA.

Calculated values
symmetry: P4/mmm, No. 123
distance to the lowest polymorph of the same formula: 0.000 eV per atom
V: 31.92 Å³/atom
E_form (uncorrected): -0.218 eV per atom
theoretical density: 4.58 Mg/m³

Lattice parameters (Å, degrees): 5.4144 5.4144 5.4448 90.00 90.00 90.00
Last column: nearest neighbours and their distance in Å.
Sites, in units of the cell vectors:
Y 0.0000 0.0000 0.0000  4 Se 2.71, 2 As 2.72
Sn 0.5000 0.5000 0.5000  4 As 3.83, 8 Se 3.84
As 0.0000 0.0000 0.5000  2 Y 2.72
Se 0.0000 0.5000 0.0000  2 Y 2.71
Se 0.5000 0.0000 0.0000  2 Y 2.71


Look up the E_form (uncorrected) of the first one.
0.318 eV per atom


Which value of theoretical density does entry 2 give?
4.58 Mg/m³


What is the theoretical density in the second record?
4.58 Mg/m³